First-principles (PBE-GGA) data for a relaxed structure of CeUFeTc, as listed in Alexandria.

Results
- N(E_F) (states/eV/atom) = 2.200
- space-group type = F-43m (216)
- magnetization (μB per cell) = 0.751
- E_form (meV per atom) = 149
- total DFT energy (no corrections) (eV for the cell shown) = -35.45
- volume (Å³/f.u.) = 77

Cell: 4.7659 4.7659 4.7659 Å, 60.00 60.00 60.00°
Each line ends with the local moment (μB).
Fractional coordinates of all 4 atoms:
U1 0.7500 0.7500 0.7500  1.89
Tc1 0.0000 0.0000 0.0000  -0.35
Ce1 0.2500 0.2500 0.2500  0.42
Fe1 0.5000 0.5000 0.5000  -1.57